No. 1
Ce3Pr: optimized geometry, PBE.

For the distance to the lowest polymorph of the same formula, the calculation gives 44 meV/atom. Its energy of formation from the pure elements is 0.6 eV/f.u. The calculation puts the spin magnetization at 0.63 μB per formula unit. As for the space group: Imm2 (44). For the total energy, the calculation gives -5.490 eV/atom. The calculated volume is 117.0 Å³/cell.

extended XYZ file:
```
4
Lattice="3.390 0.000 0.000 0.000 6.001 0.000 -1.695 -3.001 5.749" Properties=species:S:1:pos:R:3 pbc="T T T"
Ce 0.000 2.189 2.687
Ce 1.695 -0.812 3.062
Ce 1.695 2.861 0.000
Pr 0.000 5.764 0.000
```

***

No. 2
Ce3Pr: optimized geometry, PBE.

For the distance to the lowest polymorph of the same formula, the calculation gives 1 meV/atom. Its energy of formation from the pure elements is 0.4 eV/f.u. The calculation puts the spin magnetization at 0.00 μB per formula unit. As for the space group: I4/mmm (139). For the total energy, the calculation gives -5.533 eV/atom. The calculated volume is 115.7 Å³/cell.

extended XYZ file:
```
4
Lattice="4.866 0.000 0.000 0.000 4.866 0.000 -2.433 -2.433 4.886" Properties=species:S:1:pos:R:3 pbc="T T T"
Ce 2.433 2.433 0.000
Ce 0.000 2.433 2.443
Ce 2.433 0.000 2.443
Pr 0.000 0.000 0.000
```

***

No. 3
CePr5: optimized geometry, PBE.

Its energy of formation from the pure elements is 0.3 eV/f.u. The calculation puts the spin magnetization at 1.10 μB per formula unit. As for the space group: Cmmm (65). For the total energy, the calculation gives -4.914 eV/atom. The calculated volume is 211.6 Å³/cell.

extended XYZ file:
```
6
Lattice="5.216 0.000 0.000 0.000 5.205 0.000 0.000 -2.603 7.795" Properties=species:S:1:pos:R:3 pbc="T T T"
Ce 0.000 0.000 0.000
Pr 0.000 2.603 2.552
Pr 0.000 0.000 5.243
Pr 2.608 2.603 5.250
Pr 2.608 0.000 2.545
Pr 2.608 2.603 0.000
```

***

No. 4
CePr6: optimized geometry, PBE.

Its energy of formation from the pure elements is 8.1 eV/f.u. The calculation puts the spin magnetization at 1.43 μB per formula unit. As for the space group: Im-3m (229). For the total energy, the calculation gives -3.787 eV/atom. The calculated volume is 292.2 Å³/cell.

extended XYZ file:
```
7
Lattice="7.240 0.000 0.000 -2.413 6.826 0.000 -2.413 -3.413 5.912" Properties=species:S:1:pos:R:3 pbc="T T T"
Pr 1.207 -0.853 4.434
Pr 1.207 4.266 1.478
Pr 3.620 0.000 2.956
Pr -1.207 0.853 4.434
Pr 3.620 2.560 1.478
Pr -1.207 3.413 2.956
Ce 0.000 0.000 0.000
```

***

No. 5
Ce2PrPt: optimized geometry, PBE.

For the distance to the lowest polymorph of the same formula, the calculation gives 0 meV/atom. Its energy of formation from the pure elements is -2.1 eV/f.u. The calculation puts the spin magnetization at 1.17 μB per formula unit. As for the space group: Pnma (62). For the total energy, the calculation gives -6.201 eV/atom. The calculated volume is 897.2 Å³/cell.

extended XYZ file:
```
32
Lattice="6.166 0.000 0.000 0.000 10.125 0.000 0.000 0.000 14.370" Properties=species:S:1:pos:R:3 pbc="T T T"
Ce 1.542 0.506 6.677
Ce 1.541 4.556 13.862
Ce 5.777 5.610 11.310
Ce 4.625 9.619 0.508
Ce 3.472 5.610 4.124
Ce 1.541 0.506 13.862
Ce 4.624 9.619 7.693
Ce 1.542 4.556 6.677
Ce 2.694 4.515 10.246
Ce 4.624 5.569 7.693
Ce 0.389 0.548 3.061
Ce 3.472 9.577 4.124
Ce 4.625 5.569 0.508
Ce 5.777 9.577 11.310
Ce 2.694 0.548 10.246
Ce 0.389 4.515 3.061
Pt 4.798 7.594 2.537
Pt 0.152 2.531 1.002
Pt 6.014 7.594 13.369
Pt 1.368 2.531 11.834
Pt 1.715 2.531 4.649
Pt 2.931 2.531 8.187
Pt 3.235 7.594 6.184
Pt 4.451 7.594 9.722
Pr 5.869 2.531 9.205
Pr 1.446 7.594 8.705
Pr 3.381 2.531 2.020
Pr 0.298 7.594 5.165
Pr 1.637 7.594 1.520
Pr 2.785 7.594 12.350
Pr 4.720 2.531 5.665
Pr 4.529 2.531 12.850
```

***

No. 6
Ce2PrPt2: optimized geometry, PBE.

For the distance to the lowest polymorph of the same formula, the calculation gives 140 meV/atom. Its energy of formation from the pure elements is -3.6 eV/f.u. The calculation puts the spin magnetization at 0.00 μB per formula unit. As for the space group: C2/m (12). For the total energy, the calculation gives -6.458 eV/atom. The calculated volume is 125.6 Å³/cell.

extended XYZ file:
```
5
Lattice="-2.079 2.357 -2.961 -3.435 0.139 2.613 4.839 4.525 2.978" Properties=species:S:1:pos:R:3 pbc="T T T"
Pt 1.638 4.656 2.251
Pt -2.313 2.365 0.378
Ce 0.029 4.111 -0.193
Ce -0.704 2.911 2.822
Pr 0.000 0.000 0.000
```

***

No. 7
CePr5Pt4: optimized geometry, PBE.

Its energy of formation from the pure elements is -8.3 eV/f.u. The calculation puts the spin magnetization at 0.54 μB per formula unit. As for the space group: C2/m (12). For the total energy, the calculation gives -6.233 eV/atom. The calculated volume is 305.5 Å³/cell.

extended XYZ file:
```
10
Lattice="4.236 0.000 0.000 0.000 8.167 -0.602 -2.118 -1.799 8.964" Properties=species:S:1:pos:R:3 pbc="T T T"
Pt 0.000 6.119 5.409
Pt 2.118 0.249 2.953
Pt 2.118 4.335 8.485
Pt 0.000 2.033 -0.123
Pr 0.000 6.372 2.475
Pr 0.000 2.234 2.772
Pr 2.118 4.083 -0.301
Pr 2.118 -0.004 5.886
Pr 2.118 4.135 5.589
Ce 2.118 0.000 0.000
```

***

No. 8
Ce3PrPt2: optimized geometry, PBE.

For the distance to the lowest polymorph of the same formula, the calculation gives 0 meV/atom. Its energy of formation from the pure elements is -4.3 eV/f.u. The calculation puts the spin magnetization at 1.92 μB per formula unit. As for the space group: Pmc2_1 (26). For the total energy, the calculation gives -6.496 eV/atom. The calculated volume is 313.8 Å³/cell.

extended XYZ file:
```
12
Lattice="4.927 0.000 0.000 0.000 7.257 0.000 0.000 0.000 8.776" Properties=species:S:1:pos:R:3 pbc="T T T"
Ce 0.000 6.106 5.802
Ce 2.464 4.745 1.317
Ce 0.000 2.477 2.974
Ce 0.000 0.108 0.602
Ce 2.464 1.116 7.459
Ce 0.000 3.736 8.174
Pr 2.464 7.181 3.777
Pr 2.464 3.553 4.999
Pt 2.464 5.483 7.253
Pt 2.464 1.854 1.523
Pt 0.000 1.778 5.945
Pt 0.000 5.406 2.831
```